[1]
TlRhC3 | the Alexandria database | PBE-GGA | optimized geometry; relative energy among the computed polymorphs = 0.0 meV per atom; crystal system = cubic; space group = Pm-3m, No. 221; D(E_F) = 1.86 states/eV per cell; E_form = 2.22 eV per atom; total DFT energy (no corrections) = -26.30 eV for the cell shown
1.0
-3.8931 0.9014 0.8986
-1.1646 -3.6895 -1.3445
0.5136 -1.5335 3.7631
Tl Rh C
1 1 3
Direct
0.5000 0.5000 0.5000
0.0000 0.0000 0.0000
0.0000 0.5000 0.0000
0.0000 0.0000 0.5000
0.5000 0.0000 0.0000

=====

[2]
Ta2CoTe | the Alexandria database | PBE-GGA | optimized geometry; crystal system = tetragonal; space group = P4/mmm, No. 123; D(E_F) = 4.27 states/eV per cell; total DFT energy (no corrections) = -32.58 eV for the cell shown; formation energy from raw total energies = 344 meV/atom
1.0
4.6175 0.0000 0.0000
0.0000 4.6175 0.0000
0.0000 0.0000 3.2381
Co Ta Te
1 2 1
Direct
0.0000 0.5000 0.5000
0.0000 0.0000 0.0000
0.5000 0.5000 0.0000
0.5000 0.0000 0.5000

=====

[3]
TiTlSbO6 | the Alexandria database | PBE-GGA | optimized geometry; crystal system = trigonal; space group = P-31c, No. 163; total DFT energy (no corrections) = -119.13 eV for the cell shown; formation energy from raw total energies = -1714 meV/atom
1.0
5.2762 0.0000 0.0000
-2.6381 4.5694 0.0000
0.0000 0.0000 9.5383
Ti Tl Sb O
2 2 2 12
Direct
0.6667 0.3333 0.2500
0.3333 0.6667 0.7500
0.0000 0.0000 0.0000
0.0000 0.0000 0.5000
0.3333 0.6667 0.2500
0.6667 0.3333 0.7500
0.6375 0.6337 0.1377
0.9961 0.3625 0.1377
0.3625 0.9961 0.6377
0.0039 0.6375 0.8623
0.3663 0.3625 0.3623
0.9961 0.6337 0.3623
0.6337 0.9961 0.8623
0.6375 0.0039 0.3623
0.0039 0.3663 0.6377
0.3663 0.0039 0.1377
0.6337 0.6375 0.6377
0.3625 0.3663 0.8623

=====

[4]
TbYHoTm2 | the Alexandria database | PBE-GGA | optimized geometry; crystal system = orthorhombic; space group = Cmcm, No. 63; D(E_F) = 13.48 states/eV per cell; E_form = 0.39 eV per atom; total DFT energy (no corrections) = -45.29 eV for the cell shown
1.0
-3.2122 -2.5567 5.8597
7.3990 -1.3766 3.4553
-3.7731 5.9092 0.5100
Tb Y Ho Tm
2 2 2 4
Direct
0.2500 0.7181 0.4363
0.7500 0.2819 0.5637
0.7500 0.7288 0.4577
0.2500 0.2712 0.5423
0.2500 0.9900 0.9799
0.7500 0.0100 0.0201
0.5000 0.3102 0.0000
0.0000 0.6898 0.0000
0.5000 0.6898 0.0000
0.0000 0.3102 0.0000

=====

| no. | calculated volume (Å³/cell) | total magnetic moment (μB per cell) |
| --- | --- | --- |
| 1 | 69 | 0.000 |
| 2 | 69 | 1.259 |
| 3 | 230 | 0.000 |
| 4 | 337 | 0.000 |